# 1
Here is crystalline HgBi2H2 at its relaxed geometry from Alexandria. Energies are from PBE.

## Properties
**Crystal system**: tetragonal
**Symmetry**: I4/mmm
**DOS(E_F)**: 0.34 states/eV per atom
**Energy above the most stable polymorph in this dataset**: 4.27 kcal/mol of atoms

a = 3.7096 Å, b = 3.7096 Å, c = 13.8730 Å
α = 90.00°, β = 90.00°, γ = 90.00°
Element x y z (fractional)
1 Hg 0.0000 0.0000 0.0000
2 Hg 0.5000 0.5000 0.5000
3 Bi 0.0000 0.0000 0.3592
4 Bi 0.0000 0.0000 0.6408
5 Bi 0.5000 0.5000 0.1408
6 Bi 0.5000 0.5000 0.8592
7 H 0.0000 0.5000 0.2500
8 H 0.0000 0.5000 0.7500
9 H 0.5000 0.0000 0.2500
10 H 0.5000 0.0000 0.7500



# 2
Here is crystalline LaFe2As at its relaxed geometry from Alexandria. Energies are from PBE.

## Properties
**Crystal system**: tetragonal
**Formation enthalpy at 0 K**: 0.14 eV per atom
**Symmetry**: P4/mmm
**DOS(E_F)**: 1.31 states/eV per atom

a = 4.2959 Å, b = 4.2959 Å, c = 3.9798 Å
α = 90.00°, β = 90.00°, γ = 90.00°
Element x y z (fractional)
1 La 0.0000 0.0000 0.0000
2 Fe 0.0000 0.5000 0.5000
3 Fe 0.5000 0.0000 0.5000
4 As 0.5000 0.5000 0.0000



# 3
Here is crystalline Rb6AgHg2O at its relaxed geometry from Alexandria. Energies are from PBE.

## Properties
**Crystal system**: monoclinic
**Uncorrected formation energy**: -0.3001 eV/atom
**Symmetry**: Cm
**DOS(E_F)**: 0.78 states/eV per atom

a = 8.8441 Å, b = 8.8441 Å, c = 8.8385 Å
α = 119.93°, β = 119.93°, γ = 90.03°
Element x y z (fractional)
1 Rb 0.0000 0.0000 0.0000
2 Rb 0.0003 0.5559 0.5556
3 Rb 0.0009 0.0009 0.5564
4 Rb 0.5559 0.0003 0.5556
5 Rb 0.5560 0.5560 0.5552
6 Rb 0.5567 0.5567 0.1112
7 Ag 0.2783 0.2783 0.5555
8 Hg 0.0273 0.5258 0.0521
9 Hg 0.5258 0.0273 0.0521
10 O 0.7783 0.7783 0.5555



# 4
Here is crystalline PdSeCl2 at its relaxed geometry from Alexandria. Energies are from PBE.

## Properties
**Crystal system**: cubic
**Uncorrected formation energy**: 0.5512 eV/atom
**Symmetry**: Fm-3m
**DOS(E_F)**: 1.31 states/eV per atom
**Energy above the most stable polymorph in this dataset**: 11.55 kcal/mol of atoms

a = 6.7445 Å, b = 6.7445 Å, c = 6.7445 Å
α = 90.00°, β = 90.00°, γ = 90.00°
Element x y z (fractional)
1 Pd 0.0000 0.0000 0.0000
2 Pd 0.0000 0.5000 0.5000
3 Pd 0.5000 0.0000 0.5000
4 Pd 0.5000 0.5000 0.0000
5 Se 0.0000 0.0000 0.5000
6 Se 0.0000 0.5000 0.0000
7 Se 0.5000 0.0000 0.0000
8 Se 0.5000 0.5000 0.5000
9 Cl 0.2500 0.2500 0.2500
10 Cl 0.2500 0.2500 0.7500
11 Cl 0.2500 0.7500 0.2500
12 Cl 0.2500 0.7500 0.7500
13 Cl 0.7500 0.2500 0.2500
14 Cl 0.7500 0.2500 0.7500
15 Cl 0.7500 0.7500 0.2500
16 Cl 0.7500 0.7500 0.7500



# 5
Here is crystalline Na6InPb at its relaxed geometry from Alexandria. Energies are from PBE.

## Properties
**Crystal system**: tetragonal
**Formation enthalpy at 0 K**: -0.07 eV per atom
**Symmetry**: P4/mmm
**DOS(E_F)**: 0.33 states/eV per atom

a = 4.9119 Å, b = 4.9119 Å, c = 10.0884 Å
α = 90.00°, β = 90.00°, γ = 90.00°
Element x y z (fractional)
1 Na 0.0000 0.0000 0.0000
2 Na 0.0000 0.0000 0.5000
3 Na 0.0000 0.5000 0.2457
4 Na 0.0000 0.5000 0.7543
5 Na 0.5000 0.0000 0.2457
6 Na 0.5000 0.0000 0.7543
7 In 0.5000 0.5000 0.5000
8 Pb 0.5000 0.5000 0.0000



# 6
Here is crystalline B2TeP at its relaxed geometry from Alexandria. Energies are from PBE.

## Properties
**Crystal system**: triclinic
**Uncorrected formation energy**: 0.4185 eV/atom
**Symmetry**: P1
**DOS(E_F)**: 0.39 states/eV per atom
**Energy above the most stable polymorph in this dataset**: 4.12 kcal/mol of atoms

a = 3.1797 Å, b = 3.9209 Å, c = 6.6890 Å
α = 87.20°, β = 85.90°, γ = 81.23°
Element x y z (fractional)
1 B 0.0000 0.0000 0.0000
2 B 0.2198 0.6231 0.0835
3 Te 0.1795 0.6254 0.4161
4 P 0.4703 0.2416 0.9267



# 7
Here is crystalline Ag2HgOs at its relaxed geometry from Alexandria. Energies are from PBE.

## Properties
**Crystal system**: trigonal
**Formation enthalpy at 0 K**: 0.52 eV per atom
**Symmetry**: R3m
**DOS(E_F)**: 0.69 states/eV per atom

a = 2.8758 Å, b = 2.8758 Å, c = 29.2788 Å
α = 90.00°, β = 90.00°, γ = 120.00°
Element x y z (fractional)
1 Ag 0.0000 0.0000 0.0000
2 Ag 0.0000 0.0000 0.2512
3 Ag 0.3333 0.6667 0.6667
4 Ag 0.3333 0.6667 0.9179
5 Ag 0.6667 0.3333 0.3333
6 Ag 0.6667 0.3333 0.5845
7 Hg 0.0000 0.0000 0.4973
8 Hg 0.3333 0.6667 0.1640
9 Hg 0.6667 0.3333 0.8306
10 Os 0.0000 0.0000 0.7460
11 Os 0.3333 0.6667 0.4127
12 Os 0.6667 0.3333 0.0794



# 8
Here is crystalline Nd2P3Rh3 at its relaxed geometry from Alexandria. Energies are from PBE.

## Properties
**Crystal system**: tetragonal
**Formation enthalpy at 0 K**: 0.49 eV per atom
**Symmetry**: P4/mmm
**DOS(E_F)**: 1.16 states/eV per atom

a = 2.9074 Å, b = 2.9074 Å, c = 19.7829 Å
α = 90.00°, β = 90.00°, γ = 90.00°
Element x y z (fractional)
1 Nd 0.0000 0.0000 0.2458
2 Nd 0.0000 0.0000 0.7542
3 P 0.0000 0.0000 0.0000
4 P 0.0000 0.0000 0.3871
5 P 0.0000 0.0000 0.6129
6 Rh 0.0000 0.0000 0.1082
7 Rh 0.0000 0.0000 0.5000
8 Rh 0.0000 0.0000 0.8918



# 9
Here is crystalline K3FeS3 at its relaxed geometry from Alexandria. Energies are from PBE.

## Properties
**Crystal system**: monoclinic
**Uncorrected formation energy**: -0.9284 eV/atom
**Symmetry**: P2_1/c
**DOS(E_F)**: 0.38 states/eV per atom
**Energy above the most stable polymorph in this dataset**: 0.11 kcal/mol of atoms

a = 7.7759 Å, b = 12.7122 Å, c = 10.1783 Å
α = 90.00°, β = 128.46°, γ = 90.00°
Element x y z (fractional)
1 K 0.1058 0.1386 0.4718
2 K 0.1058 0.3614 0.9718
3 K 0.1458 0.0655 0.8969
4 K 0.1458 0.4345 0.3969
5 K 0.3786 0.6979 0.5922
6 K 0.3786 0.8021 0.0922
7 K 0.6214 0.1979 0.9078
8 K 0.6214 0.3021 0.4078
9 K 0.8542 0.5655 0.6031
10 K 0.8542 0.9345 0.1031
11 K 0.8942 0.6386 0.0282
12 K 0.8942 0.8614 0.5282
13 Fe 0.4399 0.0511 0.3514
14 Fe 0.4399 0.4489 0.8514
15 Fe 0.5601 0.5511 0.1486
16 Fe 0.5601 0.9489 0.6486
17 S 0.1485 0.1603 0.1888
18 S 0.1485 0.3397 0.6888
19 S 0.3576 0.6135 0.8812
20 S 0.3576 0.8865 0.3812
21 S 0.3748 0.5374 0.2494
22 S 0.3748 0.9626 0.7494
23 S 0.6252 0.0374 0.2506
24 S 0.6252 0.4626 0.7506
25 S 0.6424 0.1135 0.6188
26 S 0.6424 0.3865 0.1188
27 S 0.8515 0.6603 0.3112
28 S 0.8515 0.8397 0.8112



# 10
Here is crystalline PmTaB4 at its relaxed geometry from Alexandria. Energies are from PBE.

## Properties
**Crystal system**: orthorhombic
**Formation enthalpy at 0 K**: -0.57 eV per atom
**Symmetry**: Pbam
**DOS(E_F)**: 0.17 states/eV per atom

a = 6.2226 Å, b = 12.0481 Å, c = 3.6594 Å
α = 90.00°, β = 90.00°, γ = 90.00°
Element x y z (fractional)
1 Pm 0.1255 0.1511 0.0000
2 Pm 0.3745 0.6511 0.0000
3 Pm 0.6255 0.3489 0.0000
4 Pm 0.8745 0.8489 0.0000
5 Ta 0.1330 0.4137 0.0000
6 Ta 0.3670 0.9137 0.0000
7 Ta 0.6330 0.0863 0.0000
8 Ta 0.8670 0.5863 0.0000
9 B 0.0241 0.6924 0.5000
10 B 0.1143 0.5472 0.5000
11 B 0.1341 0.9681 0.5000
12 B 0.2097 0.8121 0.5000
13 B 0.2903 0.3121 0.5000
14 B 0.3659 0.4681 0.5000
15 B 0.3857 0.0472 0.5000
16 B 0.4759 0.1924 0.5000
17 B 0.5241 0.8076 0.5000
18 B 0.6143 0.9528 0.5000
19 B 0.6341 0.5319 0.5000
20 B 0.7097 0.6879 0.5000
21 B 0.7903 0.1879 0.5000
22 B 0.8659 0.0319 0.5000
23 B 0.8857 0.4528 0.5000
24 B 0.9759 0.3076 0.5000



# 11
Here is crystalline K2ScNi at its relaxed geometry from Alexandria. Energies are from PBE.

## Properties
**Crystal system**: orthorhombic
**Formation enthalpy at 0 K**: 0.86 eV per atom
**Symmetry**: Cmmm
**DOS(E_F)**: 1.49 states/eV per atom
**Energy above the most stable polymorph in this dataset**: 20.53 kcal/mol of atoms

a = 3.8078 Å, b = 5.2590 Å, c = 11.8759 Å
α = 90.00°, β = 90.00°, γ = 90.00°
Element x y z (fractional)
1 K 0.0000 0.0000 0.2040
2 K 0.0000 0.0000 0.7960
3 K 0.5000 0.5000 0.2040
4 K 0.5000 0.5000 0.7960
5 Sc 0.0000 0.5000 0.5000
6 Sc 0.5000 0.0000 0.5000
7 Ni 0.0000 0.5000 0.0000
8 Ni 0.5000 0.0000 0.0000



# 12
Here is crystalline Cd3Pd6Pt2 at its relaxed geometry from Alexandria. Energies are from PBE.

## Properties
**Crystal system**: monoclinic
**Formation enthalpy at 0 K**: -0.08 eV per atom
**Symmetry**: C2/m
**DOS(E_F)**: 0.85 states/eV per atom

a = 3.9069 Å, b = 3.9069 Å, c = 12.9189 Å
α = 94.53°, β = 94.53°, γ = 89.59°
Element x y z (fractional)
1 Cd 0.0000 0.0000 0.0000
2 Cd 0.1125 0.1125 0.4011
3 Cd 0.8875 0.8875 0.5989
4 Pd 0.0693 0.5697 0.2389
5 Pd 0.3876 0.3876 0.5963
6 Pd 0.4303 0.9307 0.7611
7 Pd 0.5697 0.0693 0.2389
8 Pd 0.6124 0.6124 0.4037
9 Pd 0.9307 0.4303 0.7611
10 Pt 0.4676 0.4676 0.9030
11 Pt 0.5324 0.5324 0.0970



# 13
Here is crystalline SrFeSi2 at its relaxed geometry from Alexandria. Energies are from PBE.

## Properties
**Crystal system**: orthorhombic
**Uncorrected formation energy**: 0.4947 eV/atom
**Symmetry**: Cmmm
**DOS(E_F)**: 0.74 states/eV per atom

a = 5.8779 Å, b = 8.9624 Å, c = 2.8443 Å
α = 90.00°, β = 90.00°, γ = 90.00°
Element x y z (fractional)
1 Sr 0.0000 0.0000 0.0000
2 Sr 0.5000 0.5000 0.0000
3 Fe 0.0000 0.5000 0.0000
4 Fe 0.5000 0.0000 0.0000
5 Si 0.2500 0.2500 0.5000
6 Si 0.2500 0.7500 0.5000
7 Si 0.7500 0.2500 0.5000
8 Si 0.7500 0.7500 0.5000



# 14
Here is crystalline LiPmC2O6 at its relaxed geometry from Alexandria. Energies are from PBE.

## Properties
**Crystal system**: monoclinic
**Uncorrected formation energy**: -2.0822 eV/atom
**Symmetry**: C2/c
**DOS(E_F)**: 0.00 states/eV per atom

a = 6.1913 Å, b = 6.1913 Å, c = 7.2765 Å
α = 96.19°, β = 96.19°, γ = 109.88°
Element x y z (fractional)
1 Li 0.0840 0.9160 0.7500
2 Li 0.9160 0.0840 0.2500
3 Pm 0.4203 0.5797 0.2500
4 Pm 0.5797 0.4203 0.7500
5 C 0.1300 0.4338 0.7817
6 C 0.4338 0.1300 0.2817
7 C 0.5662 0.8700 0.7183
8 C 0.8700 0.5662 0.2183
9 O 0.0198 0.4675 0.2502
10 O 0.1293 0.2493 0.6804
11 O 0.2493 0.1293 0.1804
12 O 0.3049 0.5334 0.9197
13 O 0.4666 0.6951 0.5803
14 O 0.4675 0.0198 0.7502
15 O 0.5325 0.9802 0.2498
16 O 0.5334 0.3049 0.4197
17 O 0.6951 0.4666 0.0803
18 O 0.7507 0.8707 0.8196
19 O 0.8707 0.7507 0.3196
20 O 0.9802 0.5325 0.7498



# 15
Here is crystalline Sc4ZnGaIr2 at its relaxed geometry from Alexandria. Energies are from PBE.

## Properties
**Crystal system**: trigonal
**Formation enthalpy at 0 K**: -0.77 eV per atom
**Symmetry**: R-3m
**DOS(E_F)**: 0.32 states/eV per atom

a = 8.0470 Å, b = 8.0470 Å, c = 8.0470 Å
α = 33.56°, β = 33.56°, γ = 33.56°
Element x y z (fractional)
1 Sc 0.1242 0.1242 0.1242
2 Sc 0.3743 0.3743 0.3743
3 Sc 0.6257 0.6257 0.6257
4 Sc 0.8758 0.8758 0.8758
5 Zn 0.0000 0.0000 0.0000
6 Ga 0.5000 0.5000 0.5000
7 Ir 0.2501 0.2501 0.2501
8 Ir 0.7499 0.7499 0.7499



# 16
Here is crystalline Ac2CoBr at its relaxed geometry from Alexandria. Energies are from PBE.

## Properties
**Crystal system**: trigonal
**Uncorrected formation energy**: -0.7557 eV/atom
**Symmetry**: R-3m
**DOS(E_F)**: 0.26 states/eV per atom
**Energy above the most stable polymorph in this dataset**: 0.00 kcal/mol of atoms

a = 4.2226 Å, b = 4.2226 Å, c = 24.7841 Å
α = 90.00°, β = 90.00°, γ = 120.00°
Element x y z (fractional)
1 Ac 0.0000 0.0000 0.2302
2 Ac 0.0000 0.0000 0.7698
3 Ac 0.3333 0.6667 0.4364
4 Ac 0.3333 0.6667 0.8969
5 Ac 0.6667 0.3333 0.1031
6 Ac 0.6667 0.3333 0.5636
7 Co 0.0000 0.0000 0.5000
8 Co 0.3333 0.6667 0.1667
9 Co 0.6667 0.3333 0.8333
10 Br 0.0000 0.0000 0.0000
11 Br 0.3333 0.6667 0.6667
12 Br 0.6667 0.3333 0.3333



# 17
Here is crystalline TaFe2I at its relaxed geometry from Alexandria. Energies are from PBE.

## Properties
**Crystal system**: cubic
**Uncorrected formation energy**: 0.8466 eV/atom
**Symmetry**: Fm-3m
**DOS(E_F)**: 0.83 states/eV per atom
**Energy above the most stable polymorph in this dataset**: 0.00 kcal/mol of atoms

a = 6.3288 Å, b = 6.3288 Å, c = 6.3288 Å
α = 90.00°, β = 90.00°, γ = 90.00°
Element x y z (fractional)
1 Ta 0.0000 0.0000 0.0000
2 Ta 0.0000 0.5000 0.5000
3 Ta 0.5000 0.0000 0.5000
4 Ta 0.5000 0.5000 0.0000
5 Fe 0.2500 0.2500 0.2500
6 Fe 0.2500 0.2500 0.7500
7 Fe 0.2500 0.7500 0.2500
8 Fe 0.2500 0.7500 0.7500
9 Fe 0.7500 0.2500 0.2500
10 Fe 0.7500 0.2500 0.7500
11 Fe 0.7500 0.7500 0.2500
12 Fe 0.7500 0.7500 0.7500
13 I 0.0000 0.0000 0.5000
14 I 0.0000 0.5000 0.0000
15 I 0.5000 0.0000 0.0000
16 I 0.5000 0.5000 0.5000



# 18
Here is crystalline NdHo3Tm2 at its relaxed geometry from Alexandria. Energies are from PBE.

## Properties
**Crystal system**: triclinic
**Formation enthalpy at 0 K**: 0.00 eV per atom
**Symmetry**: P-1
**DOS(E_F)**: 1.25 states/eV per atom
**Energy above the most stable polymorph in this dataset**: 0.00 kcal/mol of atoms

a = 7.1193 Å, b = 7.1266 Å, c = 8.7807 Å
α = 78.24°, β = 78.29°, γ = 60.12°
Element x y z (fractional)
1 Nd 0.2496 0.2505 0.0011
2 Nd 0.7504 0.7495 0.9989
3 Ho 0.1389 0.1393 0.6643
4 Ho 0.2505 0.7496 0.9994
5 Ho 0.3606 0.8601 0.3366
6 Ho 0.6394 0.1399 0.6634
7 Ho 0.7495 0.2504 0.0006
8 Ho 0.8611 0.8607 0.3357
9 Tm 0.1400 0.6389 0.6635
10 Tm 0.3608 0.3617 0.3357
11 Tm 0.6392 0.6383 0.6643
12 Tm 0.8600 0.3611 0.3365



# 19
Here is crystalline PmZn6Pd4 at its relaxed geometry from Alexandria. Energies are from PBE.

## Properties
**Crystal system**: hexagonal
**Formation enthalpy at 0 K**: -0.47 eV per atom
**Symmetry**: P-6m2
**DOS(E_F)**: 0.35 states/eV per atom

a = 7.2840 Å, b = 7.2840 Å, c = 4.0943 Å
α = 90.00°, β = 90.00°, γ = 120.00°
Element x y z (fractional)
1 Pm 0.0000 0.0000 0.0000
2 Zn 0.2026 0.4052 0.5000
3 Zn 0.2026 0.7974 0.5000
4 Zn 0.5364 0.0728 0.0000
5 Zn 0.5364 0.4636 0.0000
6 Zn 0.5948 0.7974 0.5000
7 Zn 0.9272 0.4636 0.0000
8 Pd 0.3333 0.6667 0.0000
9 Pd 0.4003 0.2002 0.5000
10 Pd 0.7998 0.2002 0.5000
11 Pd 0.7998 0.5997 0.5000



# 20
Here is crystalline Y2MgSn3 at its relaxed geometry from Alexandria. Energies are from PBE.

## Properties
**Crystal system**: monoclinic
**Formation enthalpy at 0 K**: -0.51 eV per atom
**Symmetry**: C2/c
**DOS(E_F)**: 0.49 states/eV per atom

a = 8.7034 Å, b = 8.7034 Å, c = 6.2881 Å
α = 99.49°, β = 99.49°, γ = 42.17°
Element x y z (fractional)
1 Y 0.0190 0.3069 0.0872
2 Y 0.3069 0.0190 0.5872
3 Y 0.6931 0.9810 0.4128
4 Y 0.9810 0.6931 0.9128
5 Mg 0.4665 0.5335 0.7500
6 Mg 0.5335 0.4665 0.2500
7 Sn 0.0377 0.9623 0.2500
8 Sn 0.1933 0.4722 0.4240
9 Sn 0.4722 0.1933 0.9240
10 Sn 0.5278 0.8067 0.0760
11 Sn 0.8067 0.5278 0.5760
12 Sn 0.9623 0.0377 0.7500



Calculated total moment (μB per cell), listed in the same order as above: 0.00; 4.70; 0.00; 1.48; 0.00; 0.00; 1.11; 0.00; 15.96; 0.00; 0.71; 0.00; 5.71; 0.00; 0.00; 0.00; 10.00; 0.00; 0.00; 0.00